(1)
# Ca2MnRuO6

A relaxed Ca2MnRuO6 crystal (GGA+U, Alexandria).

The structure in POSCAR format:
```
Ca2MnRuO6
1.0
3.858 0.000 0.000
0.000 5.554 0.000
0.000 0.000 5.554
O Ru Mn Ca
6 1 1 2
direct
0.675 0.750 0.250
0.675 0.250 0.750
0.148 0.500 0.500
0.675 0.750 0.750
0.675 0.250 0.250
0.150 0.000 0.000
0.640 0.500 0.500
0.637 0.000 0.000
0.085 0.500 0.000
0.085 0.000 0.500
```

Calculated values
volume	11.90	Å³/atom
E_tot	-68.871	eV/f.u.

---

(2)
# CaMnS2O8

A relaxed CaMnS2O8 crystal (GGA+U, Alexandria).

The structure in POSCAR format:
```
CaMnS2O8
1.0
5.199 0.000 0.000
-2.599 4.502 0.000
0.000 0.000 6.911
O S Ca Mn
8 2 1 1
direct
0.647 0.821 0.715
0.825 0.647 0.285
0.353 0.179 0.285
0.179 0.825 0.715
0.821 0.175 0.285
0.333 0.667 0.999
0.667 0.333 0.001
0.175 0.353 0.715
0.333 0.667 0.786
0.667 0.333 0.214
0.000 0.000 0.000
0.000 0.000 0.500
```

Calculated values
volume	13.48	Å³/atom
E_tot	-79.562	eV/f.u.

---

(3)
# Ca2MnSbO6

A relaxed Ca2MnSbO6 crystal (GGA+U, Alexandria).

The structure in POSCAR format:
```
Ca2MnSbO6
1.0
5.536 0.000 0.001
0.000 5.728 0.000
-0.096 0.000 7.653
Ca O Mn Sb
4 12 2 2
direct
0.489 0.555 0.752
0.989 0.945 0.252
0.511 0.445 0.248
0.011 0.055 0.748
0.595 0.969 0.744
0.305 0.294 0.953
0.291 0.308 0.550
0.695 0.706 0.047
0.195 0.794 0.547
0.405 0.031 0.256
0.209 0.808 0.950
0.805 0.206 0.453
0.791 0.192 0.050
0.905 0.469 0.756
0.709 0.692 0.450
0.095 0.531 0.244
0.500 0.000 0.500
0.000 0.500 0.000
0.500 0.000 0.000
0.000 0.500 0.500
```

Calculated values
volume	12.13	Å³/atom
E_tot	-67.172	eV/f.u.

---

(4)
# Ca2MnSbO6

A relaxed Ca2MnSbO6 crystal (GGA+U, Alexandria).

The structure in POSCAR format:
```
Ca2MnSbO6
1.0
-5.179 1.619 1.352
-1.585 -5.302 -1.285
1.238 -2.143 7.310
O Ca Mn Sb
12 4 2 2
direct
0.697 0.298 0.451
0.105 0.459 0.250
0.895 0.541 0.750
0.583 0.038 0.750
0.303 0.702 0.549
0.820 0.780 0.051
0.820 0.780 0.449
0.417 0.962 0.250
0.697 0.298 0.049
0.180 0.220 0.551
0.180 0.220 0.949
0.303 0.702 0.951
0.479 0.440 0.750
0.991 0.962 0.750
0.009 0.038 0.250
0.521 0.560 0.250
0.500 0.000 0.000
0.500 0.000 0.500
0.000 0.500 0.000
0.000 0.500 0.500
```

Calculated values
volume	12.23	Å³/atom
E_tot	-67.145	eV/f.u.

---

(5)
# Ca3Mn2Sb2O12

A relaxed Ca3Mn2Sb2O12 crystal (GGA+U, Alexandria).

The structure in POSCAR format:
```
Ca3Mn2Sb2O12
1.0
7.780 0.000 0.000
0.000 5.413 0.002
0.000 0.030 5.435
Mn O Sb Ca
2 12 2 3
direct
0.244 0.000 0.502
0.756 0.000 0.502
0.708 0.708 0.292
0.308 0.211 0.216
0.000 0.984 0.418
0.692 0.211 0.216
0.780 0.306 0.685
0.500 0.010 0.583
0.207 0.791 0.788
0.220 0.306 0.685
0.292 0.708 0.292
0.500 0.519 0.920
0.000 0.467 0.095
0.793 0.791 0.788
0.757 0.492 0.999
0.243 0.492 0.999
0.000 0.556 0.512
0.500 0.958 0.009
0.500 0.450 0.491
```

Calculated values
volume	12.05	Å³/atom
E_tot	-124.591	eV/f.u.

---

(6)
# CaMnSbO6

A relaxed CaMnSbO6 crystal (GGA+U, Alexandria).

The structure in POSCAR format:
```
CaMnSbO6
1.0
5.201 0.000 0.000
-2.600 4.504 0.000
0.000 0.000 10.019
O Mn Sb Ca
12 2 2 2
direct
0.638 0.011 0.357
0.011 0.373 0.643
0.638 0.627 0.143
0.627 0.989 0.857
0.989 0.627 0.357
0.627 0.638 0.643
0.989 0.362 0.143
0.373 0.362 0.357
0.011 0.638 0.857
0.373 0.011 0.143
0.362 0.989 0.643
0.362 0.373 0.857
0.667 0.333 0.250
0.333 0.667 0.750
0.333 0.667 0.250
0.667 0.333 0.750
0.000 0.000 0.500
0.000 0.000 0.000
```

Calculated values
volume	13.04	Å³/atom
E_tot	-58.313	eV/f.u.

---

(7)
# Ca4Mn3SbO12

A relaxed Ca4Mn3SbO12 crystal (GGA+U, Alexandria).

The structure in POSCAR format:
```
Ca4Mn3SbO12
1.0
-3.683 -3.173 -2.373
3.274 -4.360 0.753
-3.320 -1.287 6.846
O Mn Ca Sb
12 3 4 1
direct
0.086 0.524 0.749
0.797 0.202 0.951
0.791 0.213 0.539
0.914 0.476 0.251
0.419 0.023 0.752
0.288 0.289 0.461
0.301 0.296 0.047
0.712 0.711 0.539
0.209 0.787 0.461
0.699 0.704 0.953
0.581 0.977 0.248
0.203 0.798 0.049
0.500 0.000 0.000
0.000 0.500 0.500
0.500 0.000 0.500
0.488 0.551 0.266
0.008 0.042 0.267
0.512 0.449 0.734
0.992 0.958 0.733
0.000 0.500 0.000
```

Calculated values
volume	11.49	Å³/atom
E_tot	-136.557	eV/f.u.

---

(8)
# CaSc2MnO

A relaxed CaSc2MnO crystal (GGA+U, Alexandria).

The structure in POSCAR format:
```
CaSc2MnO
1.0
-2.611 2.644 2.348
-0.357 -3.883 3.977
3.525 1.714 1.990
Ca Sc Mn O
1 2 1 1
direct
0.500 0.500 0.500
0.000 0.000 0.500
0.500 0.000 0.000
0.000 0.500 0.000
0.000 0.000 0.000
```

Calculated values
volume	21.52	Å³/atom
E_tot	-30.614	eV/f.u.

---

(9)
# Ca2ScMnO5

A relaxed Ca2ScMnO5 crystal (GGA+U, Alexandria).

The structure in POSCAR format:
```
Ca2ScMnO5
1.0
-1.809 -1.443 -2.345
4.055 -4.653 2.050
-7.417 -3.102 7.632
O Ca Sc Mn
10 4 2 2
direct
0.737 0.475 0.151
0.263 0.525 0.651
0.387 0.773 0.015
0.613 0.227 0.515
0.710 0.420 0.915
0.290 0.580 0.415
0.507 0.015 0.279
0.922 0.845 0.547
0.493 0.985 0.779
0.078 0.155 0.047
0.155 0.310 0.276
0.916 0.832 0.163
0.845 0.690 0.776
0.084 0.168 0.663
0.543 0.087 0.949
0.457 0.913 0.449
0.766 0.532 0.528
0.234 0.468 0.028
```

Calculated values
volume	12.77	Å³/atom
E_tot	-65.489	eV/f.u.

---

(10)
# Ca2MnSeO6

A relaxed Ca2MnSeO6 crystal (GGA+U, Alexandria).

The structure in POSCAR format:
```
Ca2MnSeO6
1.0
-4.051 -0.861 0.000
1.131 -5.322 0.223
-0.046 0.219 5.440
O Ca Mn Se
6 2 1 1
direct
0.683 0.244 0.244
0.683 0.244 0.756
0.199 0.000 0.000
0.151 0.500 0.500
0.683 0.756 0.756
0.683 0.756 0.244
0.059 0.000 0.500
0.059 0.500 0.000
0.628 0.500 0.500
0.617 0.000 0.000
```

Calculated values
volume	12.28	Å³/atom
E_tot	-62.327	eV/f.u.

---

(11)
# CaMnSe2O8

A relaxed CaMnSe2O8 crystal (GGA+U, Alexandria).

The structure in POSCAR format:
```
CaMnSe2O8
1.0
-1.168 -5.701 1.467
4.824 1.025 -3.419
1.051 2.832 5.186
O Se Ca Mn
8 2 1 1
direct
0.332 0.151 0.819
0.332 0.513 0.181
0.401 0.077 0.324
0.487 0.668 0.819
0.753 0.077 0.676
0.923 0.247 0.324
0.849 0.668 0.181
0.923 0.599 0.676
0.750 0.250 0.500
0.500 0.500 0.000
0.000 0.000 0.000
0.250 0.750 0.500
```

Calculated values
volume	13.67	Å³/atom
E_tot	-71.866	eV/f.u.

---

(12)
# CaMnSeO

A relaxed CaMnSeO crystal (GGA+U, Alexandria).

The structure in POSCAR format:
```
CaMnSeO
1.0
-1.491 2.965 -1.641
-2.922 -0.397 -2.238
-5.185 1.599 3.424
O Se Ca Mn
1 1 1 1
direct
0.252 0.252 0.244
0.759 0.759 0.724
0.980 0.980 0.059
0.509 0.509 0.473
```

Calculated values
volume	17.95	Å³/atom
E_tot	-24.393	eV/f.u.